No. 1
DFT (meta-GGA SCAN) results for KTaW2 at its PBEsol-relaxed geometry.

* total magnetization: 0.0 μB/cell
* ΔE_f: 962 meV/atom
* symmetry: P4mm (99)

```
4
Lattice="-2.6652 1.1643 1.0517 -1.5232 -1.4229 -2.2848 -1.1523 -7.6153 5.5108" Properties=species:S:1:pos:R:3 pbc="T T T"
Ta -3.0585 -6.5022 3.9952
K -0.5617 -3.7122 2.6863
W -2.2850 -1.3903 0.2960
W -0.0116 -0.0769 0.0556
```

No. 2
DFT (meta-GGA SCAN) results for BaNa2Ti2Si4O14 at its PBEsol-relaxed geometry.

* total magnetization: 0.0 μB/cell
* E_form (uncorrected): -3.0651 eV/atom
* symmetry: Ima2 (46)

```
46
Lattice="-6.4041 -2.3520 -4.4019 1.9856 -2.4818 -9.0504 -0.5269 -9.4287 -1.6834" Properties=species:S:1:pos:R:3 pbc="T T T"
O -5.0206 -5.5862 -8.7508
O 0.0340 -6.2840 -7.6785
O -3.7656 -6.0534 -6.4906
O -0.2448 -1.1072 -2.8930
O -4.8936 -13.2068 -12.3516
O 0.0462 -3.6349 -2.0649
O -3.5946 -7.6420 -10.1678
O 1.2336 -8.3235 -8.7750
O -1.3747 -8.2806 -8.7790
O -2.8430 -9.2296 -5.9792
O 0.6901 -4.4699 -9.6023
O -5.8697 -9.8767 -5.6638
O 0.9330 -3.7861 -6.9456
O -3.1446 -4.8245 -4.2749
O -1.5678 -6.7255 -5.1122
O -3.4009 -9.9529 -8.7742
O -1.7103 -4.3943 -6.4924
O -3.5279 -2.3323 -5.1734
O -2.8656 -11.5368 -12.3579
O -2.2240 -8.5397 -3.1883
O -1.5815 -12.0097 -10.0987
O -5.9840 -10.5151 -8.2626
O -2.2747 -2.7973 -2.9117
O -2.9287 -5.8008 -12.1203
O -1.9572 -9.5132 -10.9850
O -5.2039 -8.0356 -7.6163
O -2.1634 -5.0553 -9.1984
O -0.1160 -8.7227 -6.4993
Si -0.0890 -7.8772 -7.8900
Si -3.5046 -3.2695 -3.8451
Si -1.6306 -11.0717 -11.4280
Si -2.5068 -5.5224 -5.6307
Si -4.1802 -11.9991 -13.1735
Si -5.0568 -6.4511 -7.3747
Si -0.9652 -2.3279 -2.0926
Si -2.6280 -8.8174 -9.6439
Ba -0.7489 -1.8840 -5.7256
Ba -4.4822 -12.4834 -9.6064
Ti -4.7290 -9.8904 -7.2455
Ti -0.7737 -4.5937 -8.2892
Ti -1.5150 -8.6931 -5.0204
Ti -4.0091 -5.7650 -10.4971
Na -1.2639 -6.3168 -2.6940
Na -0.1338 -0.0491 -0.0920
Na 0.5955 -6.0044 -5.4588
Na -4.0409 -8.0776 -12.6886
```

No. 3
DFT (meta-GGA SCAN) results for Zr2CdAu at its PBEsol-relaxed geometry.

* total magnetization: 0.0 μB/cell
* ΔE_f: -433 meV/atom
* symmetry: Pmmm (47)

```
4
Lattice="-1.9642 1.6753 -1.5964 -2.9974 -2.9518 0.5902 -1.7460 2.7885 5.0794" Properties=species:S:1:pos:R:3 pbc="T T T"
Zr -2.3873 2.3514 -0.3639
Zr -1.3229 2.1125 3.8469
Cd -3.3538 0.7560 2.0366
Au -2.4808 -0.6382 -0.5031
```

- total magnetization of number 3 (Zr2CdAu)?
  0.0 μB/cell

- Number 1 is which compound?
  KTaW2

Please write out number 3 again, unchanged.
DFT (meta-GGA SCAN) results for Zr2CdAu at its PBEsol-relaxed geometry.

* total magnetization: 0.0 μB/cell
* ΔE_f: -433 meV/atom
* symmetry: Pmmm (47)

```
4
Lattice="-1.9642 1.6753 -1.5964 -2.9974 -2.9518 0.5902 -1.7460 2.7885 5.0794" Properties=species:S:1:pos:R:3 pbc="T T T"
Zr -2.3873 2.3514 -0.3639
Zr -1.3229 2.1125 3.8469
Cd -3.3538 0.7560 2.0366
Au -2.4808 -0.6382 -0.5031
```

- What is the formula in the second record?
  BaNa2Ti2Si4O14